# 1
VASP calculation (PBE) on crystalline FeReAg at its relaxed geometry.

Cell lengths 7.162, 6.975, 2.672 Å; angles 83.07, 75.19, 21.74 degrees
Site moments in Bohr magnetons follow the coordinates.
Sites, in units of the cell vectors:
1 Fe 0.326 0.326 0.674  2.51
2 Re 0.680 0.680 0.320  -0.08
3 Ag 0.995 0.995 0.005  0.00

- Energy above the lowest structure with this stoichiometry: 22 meV per atom
- M_tot: 2.43 μB/f.u.
- Formation energy: 414 meV/atom
- Symmetry: Fmm2
- V: 15.1 Å³/atom
- DOS at the Fermi energy: 0.79 states/eV per atom

=====

# 2
VASP calculation (PBE) on crystalline FeRe3Ag at its relaxed geometry.

Cell lengths 4.425, 4.425, 4.425 Å; angles 90.00, 90.00, 90.00 degrees
Sites, in units of the cell vectors:
1 Re 0.000 0.000 0.500
2 Re 0.500 0.000 0.000
3 Re 0.000 0.500 0.000
4 Fe 0.000 0.000 0.000
5 Ag 0.500 0.500 0.500

- Energy above the lowest structure with this stoichiometry: 0 meV per atom
- M_tot: 0.00 μB/f.u.
- Formation energy: 1625 meV/atom
- Symmetry: Pm-3m
- V: 17.3 Å³/atom
- DOS at the Fermi energy: 1.21 states/eV per atom